i | ## Re12Ni17 (PBE)

Data for an optimized crystal structure of Re12Ni17.

extended XYZ file:
```
29
Lattice="-4.554 4.554 4.554 4.554 -4.554 4.554 4.554 4.554 -4.554" Properties=species:S:1:pos:R:3 pbc="T T T"
Re 2.623 0.855 -0.855
Re 2.623 -0.855 0.855
Re 6.485 0.855 0.855
Re 0.855 2.623 -0.855
Re 0.855 -0.855 2.623
Re -0.855 2.623 0.855
Re -0.855 0.855 2.623
Re 3.698 3.698 1.931
Re 3.698 1.931 3.698
Re 0.855 6.485 0.855
Re 0.855 0.855 6.485
Re 1.931 3.698 3.698
Ni 0.000 0.000 0.000
Ni 2.994 2.994 -2.994
Ni 4.946 1.271 -1.271
Ni 2.994 -2.994 2.994
Ni 4.946 -1.271 1.271
Ni 4.161 1.271 1.271
Ni 3.283 3.283 -0.393
Ni 3.283 -0.393 3.283
Ni 1.559 1.559 1.559
Ni 1.271 4.946 -1.271
Ni 1.271 -1.271 4.946
Ni 1.271 4.161 1.271
Ni 1.271 1.271 4.161
Ni -2.994 2.994 2.994
Ni -1.271 4.946 1.271
Ni -1.271 1.271 4.946
Ni -0.393 3.283 3.283
```

The calculation puts the volume at 13.03 A^3/atom.


ii | ## Re12Ni17 (PBE)

Data for an optimized crystal structure of Re12Ni17.

extended XYZ file:
```
29
Lattice="-4.500 4.500 4.500 4.500 -4.500 4.500 4.500 4.500 -4.500" Properties=species:S:1:pos:R:3 pbc="T T T"
Re 4.947 1.254 -1.254
Re 4.947 -1.254 1.254
Re 4.052 1.254 1.254
Re 3.246 3.246 -0.448
Re 3.246 -0.448 3.246
Re 1.254 4.947 -1.254
Re 1.254 -1.254 4.947
Re 1.254 4.052 1.254
Re 1.254 1.254 4.052
Re -1.254 4.947 1.254
Re -1.254 1.254 4.947
Re -0.448 3.246 3.246
Ni 0.000 0.000 0.000
Ni 2.928 2.928 -2.928
Ni 2.502 0.826 -0.826
Ni 2.502 -0.826 0.826
Ni 2.928 -2.928 2.928
Ni 6.498 0.826 0.826
Ni 0.826 2.502 -0.826
Ni 0.826 -0.826 2.502
Ni 1.571 1.571 1.571
Ni -0.826 2.502 0.826
Ni -0.826 0.826 2.502
Ni 3.674 3.674 1.998
Ni 3.674 1.998 3.674
Ni -2.928 2.928 2.928
Ni 0.826 6.498 0.826
Ni 0.826 0.826 6.498
Ni 1.998 3.674 3.674
```

The calculation puts the volume at 12.57 A^3/atom.


Stability ranking, top entry: i; the second entry is 30 meV per atom less favorable.